Record 1
BaPm12Si6 | Alexandria via LeMat-Bulk | PBE-GGA | optimized geometry; space-group type = R-3m; calculated volume = 31.65 Å³/atom; ΔE_f (raw) = -0.390 eV per atom
1.0
6.8329 3.9450 3.7178
-6.8329 3.9450 3.7178
0.0000 -7.8900 3.7178
Ba Pm Si
1 12 6
Direct
0.0000 0.0000 0.0000
0.1286 0.5000 0.8714
0.1286 0.8714 0.5000
0.1823 0.4563 0.4563
0.4563 0.1823 0.4563
0.4563 0.4563 0.1823
0.5000 0.1286 0.8714
0.5000 0.8714 0.1286
0.5437 0.5437 0.8177
0.5437 0.8177 0.5437
0.8177 0.5437 0.5437
0.8714 0.1286 0.5000
0.8714 0.5000 0.1286
0.2415 0.2415 0.6828
0.2415 0.6828 0.2415
0.3172 0.7585 0.7585
0.6828 0.2415 0.2415
0.7585 0.3172 0.7585
0.7585 0.7585 0.3172

---

Record 2
AcTlHg2 | Alexandria via LeMat-Bulk | PBE-GGA | optimized geometry; E_form = -0.188 eV/atom; space-group type = R3m; calculated volume = 33.67 Å³/atom; offset from the most stable computed form = 0.818 eV/f.u.
1.0
2.1262 1.2276 8.5992
-2.1262 1.2276 8.5992
0.0000 -2.4551 8.5992
Ac Tl Hg
1 1 2
Direct
0.0000 0.0000 0.0000
0.8321 0.8321 0.8321
0.4224 0.4224 0.4224
0.5772 0.5772 0.5772

---

Question: Which of these has the highest calculated volume?
Answer: AcTlHg2

---

Question: Look up the calculated volume of the second one.
Answer: 33.67 Å³/atom